Tb8Pm5Y | PBE-GGA | relaxed

```
14
Lattice="-4.822 4.822 5.079 4.822 -4.822 5.079 4.822 4.822 -5.079" Properties=species:S:1:pos:R:3 pbc="T T T"
Tb 1.700 -0.828 2.504
Tb 3.122 5.650 -2.575
Tb 0.686 3.134 0.973
Tb 3.994 3.122 2.575
Tb -0.686 6.511 0.973
Tb -1.689 4.136 4.105
Tb 0.828 1.700 7.653
Tb 1.689 5.508 4.105
Pm 0.000 0.000 0.000
Pm 3.770 2.771 -0.782
Pm 2.051 -1.052 5.860
Pm 1.052 2.051 4.297
Pm 2.771 5.875 0.782
Y 4.822 0.000 2.539
```

## Properties
Formation energy   240 meV/atom
Fermi-level density of states   19.71 states/eV/f.u.
Final energy   -63.898 eV for the cell shown